1.
# Tb2HgH2, relaxed, DFT GGA-PBE
# * density: 9.99 Mg/m³
# * total DFT energy (no corrections): -3.89 eV/atom
# * M_tot: 0.000 μB/atom
data_Tb2HgH2
_chemical_formula_sum 'Tb2 Hg1 H2'
_space_group_name_H-M_alt 'P 1'
_space_group_IT_number 1
_cell_length_a 6.631
_cell_length_b 6.631
_cell_length_c 6.631
_cell_angle_alpha 146.92
_cell_angle_beta 146.92
_cell_angle_gamma 47.49
loop_
_space_group_symop_operation_xyz
'x,y,z'
loop_
_atom_site_label
_atom_site_type_symbol
_atom_site_fract_x
_atom_site_fract_y
_atom_site_fract_z
Tb1 Tb 0.150 0.150 0.000
Tb2 Tb 0.850 0.850 0.000
Hg1 Hg 0.500 0.500 0.000
H1 H 0.250 0.750 0.500
H2 H 0.750 0.250 0.500



2.
# Tb12Hg3H5, relaxed, DFT GGA-PBE
# * density: 8.85 Mg/m³
# * total DFT energy (no corrections): -3.93 eV/atom
# * M_tot: 0.000 μB/atom
data_Tb12Hg3H5
_chemical_formula_sum 'Tb48 Hg12 H20'
_space_group_name_H-M_alt 'P 1'
_space_group_IT_number 1
_cell_length_a 13.485
_cell_length_b 13.485
_cell_length_c 13.485
_cell_angle_alpha 109.47
_cell_angle_beta 109.47
_cell_angle_gamma 109.47
loop_
_space_group_symop_operation_xyz
'x,y,z'
loop_
_atom_site_label
_atom_site_type_symbol
_atom_site_fract_x
_atom_site_fract_y
_atom_site_fract_z
Tb1 Tb 0.013 0.206 0.109
Tb2 Tb 0.013 0.307 0.904
Tb3 Tb 0.096 0.609 0.403
Tb4 Tb 0.096 0.987 0.693
Tb5 Tb 0.097 0.706 0.693
Tb6 Tb 0.097 0.891 0.404
Tb7 Tb 0.109 0.013 0.206
Tb8 Tb 0.109 0.596 0.903
Tb9 Tb 0.193 0.206 0.597
Tb10 Tb 0.193 0.487 0.596
Tb11 Tb 0.206 0.109 0.013
Tb12 Tb 0.206 0.597 0.193
Tb13 Tb 0.294 0.307 0.903
Tb14 Tb 0.294 0.487 0.391
Tb15 Tb 0.307 0.903 0.294
Tb16 Tb 0.307 0.904 0.013
Tb17 Tb 0.391 0.294 0.487
Tb18 Tb 0.391 0.597 0.904
Tb19 Tb 0.403 0.096 0.609
Tb20 Tb 0.403 0.807 0.794
Tb21 Tb 0.404 0.097 0.891
Tb22 Tb 0.404 0.807 0.513
Tb23 Tb 0.487 0.391 0.294
Tb24 Tb 0.487 0.596 0.193
Tb25 Tb 0.513 0.404 0.807
Tb26 Tb 0.513 0.609 0.706
Tb27 Tb 0.596 0.193 0.487
Tb28 Tb 0.596 0.903 0.109
Tb29 Tb 0.597 0.193 0.206
Tb30 Tb 0.597 0.904 0.391
Tb31 Tb 0.609 0.403 0.096
Tb32 Tb 0.609 0.706 0.513
Tb33 Tb 0.693 0.096 0.987
Tb34 Tb 0.693 0.097 0.706
Tb35 Tb 0.706 0.513 0.609
Tb36 Tb 0.706 0.693 0.097
Tb37 Tb 0.794 0.403 0.807
Tb38 Tb 0.794 0.891 0.987
Tb39 Tb 0.807 0.513 0.404
Tb40 Tb 0.807 0.794 0.403
Tb41 Tb 0.891 0.404 0.097
Tb42 Tb 0.891 0.987 0.794
Tb43 Tb 0.903 0.109 0.596
Tb44 Tb 0.903 0.294 0.307
Tb45 Tb 0.904 0.013 0.307
Tb46 Tb 0.904 0.391 0.597
Tb47 Tb 0.987 0.693 0.096
Tb48 Tb 0.987 0.794 0.891
Hg1 Hg 0.125 0.250 0.375
Hg2 Hg 0.125 0.375 0.750
Hg3 Hg 0.250 0.375 0.125
Hg4 Hg 0.250 0.875 0.625
Hg5 Hg 0.375 0.125 0.250
Hg6 Hg 0.375 0.750 0.125
Hg7 Hg 0.625 0.250 0.875
Hg8 Hg 0.625 0.875 0.750
Hg9 Hg 0.750 0.125 0.375
Hg10 Hg 0.750 0.625 0.875
Hg11 Hg 0.875 0.625 0.250
Hg12 Hg 0.875 0.750 0.625
H1 H 0.000 0.000 0.000
H2 H 0.000 0.000 0.500
H3 H 0.000 0.500 0.000
H4 H 0.000 0.500 0.500
H5 H 0.125 0.750 0.875
H6 H 0.125 0.875 0.250
H7 H 0.250 0.125 0.875
H8 H 0.250 0.625 0.375
H9 H 0.375 0.250 0.625
H10 H 0.375 0.625 0.750
H11 H 0.500 0.000 0.000
H12 H 0.500 0.000 0.500
H13 H 0.500 0.500 0.000
H14 H 0.500 0.500 0.500
H15 H 0.625 0.375 0.250
H16 H 0.625 0.750 0.375
H17 H 0.750 0.375 0.625
H18 H 0.750 0.875 0.125
H19 H 0.875 0.125 0.750
H20 H 0.875 0.250 0.125



3.
# Tb4Hg2H, relaxed, DFT GGA-PBE
# * density: 9.74 Mg/m³
# * excess energy over the best structure of this formula in the dataset: 0.000 eV per atom
# * M_tot: 0.000 μB/atom
data_Tb4Hg2H
_chemical_formula_sum 'Tb8 Hg4 H2'
_space_group_name_H-M_alt 'P 1'
_space_group_IT_number 1
_cell_length_a 6.868
_cell_length_b 6.795
_cell_length_c 7.881
_cell_angle_alpha 90.00
_cell_angle_beta 105.88
_cell_angle_gamma 90.00
loop_
_space_group_symop_operation_xyz
'x,y,z'
loop_
_atom_site_label
_atom_site_type_symbol
_atom_site_fract_x
_atom_site_fract_y
_atom_site_fract_z
Tb1 Tb 0.035 0.006 0.268
Tb2 Tb 0.035 0.494 0.268
Tb3 Tb 0.377 0.750 0.078
Tb4 Tb 0.413 0.750 0.616
Tb5 Tb 0.587 0.250 0.384
Tb6 Tb 0.623 0.250 0.922
Tb7 Tb 0.965 0.506 0.732
Tb8 Tb 0.965 0.994 0.732
Hg1 Hg 0.233 0.250 0.031
Hg2 Hg 0.263 0.250 0.597
Hg3 Hg 0.737 0.750 0.403
Hg4 Hg 0.767 0.750 0.969
H1 H 0.203 0.750 0.793
H2 H 0.797 0.250 0.207